The following is a DFT calculation (GGA-PBE) of a relaxed structure of TaRuS4.

For the density of states at the Fermi level, the calculation gives 2.777 states/eV/f.u. Its final energy is -81.585 eV per cell. The formation energy (no corrections) comes out at -525.7 meV per atom.

The space group is P-1 (No. 2) and the conventional cell measures 5.5965, 5.6678 and 7.6767 Å, with angles of 108.72, 110.24 and 91.49 degrees. Symmetry generates all atoms from Ta at (0.1988, 0.4521, 0.3865), Ru at (0.4499, 0.1656, 0.8900), S at (0.1245, 0.2687, 0.6164), S at (0.1563, 0.8715, 0.8906), S at (0.3075, 0.4837, 0.1089) and S at (0.4878, 0.8396, 0.6122).

=====

The following is a DFT calculation (GGA-PBE) of a relaxed structure of HgSe.

For the density of states at the Fermi level, the calculation gives 0.452 states/eV/f.u. Its final energy is -24.591 eV per cell. The formation energy (no corrections) comes out at -156.1 meV per atom.

The space group is Pm-3n (No. 223) and the conventional cell measures 7.7042, 7.7042 and 7.7042 Å, with angles of 90.00, 90.00 and 90.00 degrees. Symmetry generates all atoms from Hg at (0.0000, 0.2500, 0.5000) and Se at (0.0000, 0.5000, 0.2500).

=====

The following is a DFT calculation (GGA-PBE) of a relaxed structure of Co2Ni6Pd.

For the density of states at the Fermi level, the calculation gives 11.408 states/eV/f.u. The calculation puts the formation energy from the elements at 0.024 eV per atom. Its final energy is -107.762 eV per cell.

The space group is C2/m (No. 12) and the conventional cell measures 8.0116, 3.5632 and 7.6029 Å, with angles of 90.00, 108.37 and 90.00 degrees. Symmetry generates all atoms from Co at (0.1757, 0.0000, 0.2338), Ni at (0.0015, 0.5000, 0.3386), Ni at (0.1656, 0.0000, 0.8806), Ni at (0.1674, 0.0000, 0.5534) and Pd at (0.0000, 0.5000, 0.0000).

=====

The highest final energy belongs to which entry? HgSe

=====

What is the formula in the first record? TaRuS4

=====

Among the records above, which one has the lowest final energy? Co2Ni6Pd

=====

Number 2 is which compound? HgSe